No. 1
## ZnOs (PBE)

Data for a relaxed ZnOs crystal.

The space group is P-6m2 (No. 187) and the conventional cell measures 2.7453, 2.7453 and 4.3268 Å, with angles of 90.00, 90.00 and 120.00 degrees. The inequivalent atoms are Zn at (0.0000, 0.0000, 0.0000) and Os at (0.3333, 0.6667, 0.5000).

As for the size of the total moment: 0.0212 μB/atom. For the electronic total energy, the calculation gives -6.02 eV per atom.

=====

No. 2
## Rb2CoCuBr6 (PBE)

Data for a relaxed Rb2CoCuBr6 crystal.

The space group is Fm-3m (No. 225) and the conventional cell measures 10.376, 10.376 and 10.376 Å, with angles of 90.00, 90.00 and 90.00 degrees. The inequivalent atoms are Rb at (0.250, 0.250, 0.250), Co at (0.000, 0.000, 0.000), Cu at (0.000, 0.000, 0.500) and Br at (0.000, 0.000, 0.246).

As for the size of the total moment: 0.1976 μB/atom. For the electronic total energy, the calculation gives -3.11 eV per atom.